The following is a DFT calculation (GGA+U) of a geometry-optimized Co2BH3O5 structure.

Lattice parameters (Å, degrees): 4.8745 5.0003 5.3012 89.37 85.38 61.17
With the nearest neighbours (Å) after each atom.
Element x y z (fractional)
O (0.7077, 0.6474, 0.9764)  1 H 0.98
O (0.7236, 0.0042, 0.4369)  1 B 1.38
Co (0.3300, 0.3598, 0.3729)  4 O 1.94-1.98
Co (0.6532, 0.6984, 0.6219)  4 O 1.92-1.97
B (0.9903, 0.0170, 0.4864)  3 O 1.36-1.38
H (0.6274, 0.8394, 0.0730)  1 O 0.98
H (0.3874, 0.5115, 0.9501)  1 O 0.99
O (0.2591, 0.7466, 0.5165)  1 B 1.38
H (0.0423, 0.5032, 0.9826)  1 O 1.08
O (0.9883, 0.2888, 0.5064)  1 B 1.36
O (0.2907, 0.3838, 0.0041)  2 H 0.99-1.08

Calculated values
Space group   P1 (1)
E   -6.040 eV per atom